# PBE Co8H4Rh, optimized geometry
# **Final energy**: -5.9572 eV/atom
data_Co8H4Rh
_space_group_name_H-M_alt 'C 1 2/m 1'
_space_group_IT_number 12
_cell_length_a 12.5652
_cell_length_b 2.6016
_cell_length_c 8.6474
_cell_angle_alpha 90.00
_cell_angle_beta 129.39
_cell_angle_gamma 90.00
loop_
_space_group_symop_operation_xyz
'x,y,z'
'-x,-y,-z'
'-x,y,-z'
'x,-y,z'
'x+1/2,y+1/2,z'
'-x+1/2,-y+1/2,-z'
'-x+1/2,y+1/2,-z'
'x+1/2,-y+1/2,z'
loop_
_atom_site_label
_atom_site_fract_x
_atom_site_fract_y
_atom_site_fract_z
Co1 0.0369 0.0000 0.2367
Co2 0.1271 0.5000 0.0916
Co3 0.1656 0.5000 0.8315
Co4 0.2059 0.5000 0.5778
H1 0.1492 0.0000 0.9637
H2 0.1657 0.5000 0.3324
Rh1 0.0000 0.0000 0.5000